Compound: DyHo2Tm4Ni2Te2
Source: OQMD
Functional: PBE-GGA
Structure: optimized geometry

Properties
DFT total energy, eV per formula unit: -56.5

CIF file:
```
data_DyHo2Tm4Ni2Te2
_symmetry_space_group_name_H-M 'I m m 2'
_symmetry_Int_Tables_number 44
_cell_length_a 3.823
_cell_length_b 15.445
_cell_length_c 9.480
_cell_angle_alpha 90.00
_cell_angle_beta 90.00
_cell_angle_gamma 90.00
loop_
_symmetry_equiv_pos_as_xyz
'x,y,z'
'-x,-y,z'
'-x,y,z'
'x,-y,z'
'x+1/2,y+1/2,z+1/2'
'-x+1/2,-y+1/2,z+1/2'
'-x+1/2,y+1/2,z+1/2'
'x+1/2,-y+1/2,z+1/2'
loop_
_atom_site_label
_atom_site_type_symbol
_atom_site_fract_x
_atom_site_fract_y
_atom_site_fract_z
_atom_site_occupancy
Dy1 Dy 0.000 0.000 0.000 1
Ho1 Ho 0.000 0.315 0.379 1
Tm1 Tm 0.000 0.133 0.583 1
Tm2 Tm 0.000 0.353 0.730 1
Ni1 Ni 0.000 0.238 0.072 1
Te1 Te 0.000 0.000 0.338 1
Te2 Te 0.000 0.500 0.234 1
```